(1)
GeTePbI2: optimized geometry, PBE.

Calculated values
total magnetic moment	0.0	μB/cell
excess energy over the best structure of this formula in the dataset	0.000	eV per atom
crystal system	tetragonal
E_form (uncorrected)	30	meV/atom

a b c (Å): 5.6200 5.6200 5.7757
angles (deg): 90.00 90.00 90.00
Closest atoms and distances in Å follow each position.
Sites, in units of the cell vectors:
Ge (0.0000, 0.0000, 0.0000)  4 I 2.81, 2 Te 2.89
Te (0.0000, 0.0000, 0.5000)  2 Ge 2.89
Pb (0.5000, 0.5000, 0.5000)  4 Te 3.97, 8 I 4.03
I (0.0000, 0.5000, 0.0000)  2 Ge 2.81
I (0.5000, 0.0000, 0.0000)  2 Ge 2.81


(2)
Ca4Hg5Ge2: optimized geometry, PBE.

Calculated values
total magnetic moment	0.0	μB/cell
crystal system	monoclinic
E_form	-0.45	eV/atom

a b c (Å): 7.7932 3.9979 9.4170
angles (deg): 90.00 94.87 90.00
Closest atoms and distances in Å follow each position.
Sites, in units of the cell vectors:
Ca (0.1986, 0.0000, 0.3532)  2 Ge 3.06, 8 Hg 3.30-3.41
Ca (0.2408, 0.0000, 0.9201)  4 Ge 3.12-3.15, 6 Hg 3.26-3.42
Ca (0.7592, 0.0000, 0.0799)  4 Ge 3.12-3.15, 6 Hg 3.26-3.42
Ca (0.8014, 0.0000, 0.6468)  2 Ge 3.06, 8 Hg 3.30-3.41
Hg (0.1518, 0.5000, 0.6280)  1 Ge 3.01, 2 Hg 3.06-3.23, 2 Ca 3.31
Hg (0.4538, 0.5000, 0.1662)  1 Ge 3.02, 2 Hg 3.13-3.27, 2 Ca 3.26
Hg (0.5000, 0.5000, 0.5000)  4 Hg 3.06-3.13, 4 Ca 3.30
Hg (0.5462, 0.5000, 0.8338)  1 Ge 3.02, 2 Hg 3.13-3.27, 2 Ca 3.26
Hg (0.8482, 0.5000, 0.3720)  1 Ge 3.01, 2 Hg 3.06-3.23, 2 Ca 3.31
Ge (0.0658, 0.5000, 0.1229)  1 Ge 2.45
Ge (0.9342, 0.5000, 0.8771)  1 Ge 2.45


(3)
TbPm4Dy5: optimized geometry, PBE.

Calculated values
total magnetic moment	0.0	μB/cell
excess energy over the best structure of this formula in the dataset	0.000	eV per atom
crystal system	monoclinic
E_form	0.19	eV/atom

a b c (Å): 8.7951 8.7951 11.1691
angles (deg): 90.04 90.04 23.22
Closest atoms and distances in Å follow each position.
Sites, in units of the cell vectors:
Tb (0.0000, 0.0000, 0.0000)  4 Pm 3.35, 4 Dy 3.53, 2 Tb 3.54
Pm (0.1551, 0.1551, 0.2500)  4 Pm 3.54-3.65, 7 Dy 3.69-3.87, 1 Tb 3.86
Pm (0.4697, 0.4697, 0.2502)  4 Dy 3.32-3.34, 2 Tb 3.35, 4 Pm 3.54-3.65
Pm (0.5303, 0.5303, 0.7498)  4 Dy 3.32-3.34, 2 Tb 3.35, 4 Pm 3.54-3.65
Pm (0.8449, 0.8449, 0.7500)  4 Pm 3.54-3.65, 7 Dy 3.69-3.87, 1 Tb 3.86
Dy (0.0000, 0.0000, 0.5000)  4 Pm 3.34, 6 Dy 3.52-3.54
Dy (0.3263, 0.3263, 0.0522)  2 Pm 3.32-3.69, 4 Dy 3.38-3.54, 2 Tb 3.53
Dy (0.3264, 0.3264, 0.4483)  2 Pm 3.32-3.69, 6 Dy 3.38-3.54
Dy (0.6736, 0.6736, 0.5517)  2 Pm 3.32-3.69, 6 Dy 3.38-3.54
Dy (0.6737, 0.6737, 0.9478)  2 Pm 3.32-3.69, 4 Dy 3.38-3.54, 2 Tb 3.53


(4)
BaCdCo2Cl: optimized geometry, PBE.

Calculated values
total magnetic moment	3.6	μB/cell
crystal system	tetragonal
E_form (uncorrected)	462	meV/atom

a b c (Å): 4.8454 4.8454 6.7440
angles (deg): 90.00 90.00 90.00
Closest atoms and distances in Å follow each position.
Sites, in units of the cell vectors:
Ba (0.0000, 0.0000, 0.0000)  2 Cd 3.37, 4 Cl 3.43
Cd (0.0000, 0.0000, 0.5000)  4 Co 2.42
Co (0.0000, 0.5000, 0.5000)  2 Cd 2.42
Co (0.5000, 0.0000, 0.5000)  2 Cd 2.42
Cl (0.5000, 0.5000, 0.0000)  4 Ba 3.43